Entry from the Alexandria database: an optimized crystal structure of Na2CaCl4 (GGA-PBE).

Unit cell a=4.073 b=7.078 c=12.459 alpha=90.00 beta=90.00 gamma=90.00
Positions (direct):
Na (0.500, 0.922, 0.819)
Na (0.500, 0.078, 0.181)
Na (0.500, 0.422, 0.681)
Na (0.500, 0.578, 0.319)
Ca (0.000, 0.000, 0.500)
Ca (0.000, 0.500, 0.000)
Cl (0.000, 0.636, 0.794)
Cl (0.000, 0.364, 0.206)
Cl (0.000, 0.136, 0.706)
Cl (0.000, 0.864, 0.294)
Cl (0.500, 0.748, 0.540)
Cl (0.500, 0.252, 0.460)
Cl (0.500, 0.752, 0.040)
Cl (0.500, 0.248, 0.960)

Computed properties:
- Formation energy from raw total energies: -2051.3 meV per atom
- Polymorph energy (0 for the lowest one): 0 meV per atom
- E_tot: -3.769 eV/atom
- SG: No. 55


Entry from the Alexandria database: an optimized crystal structure of Na5CaCl8 (GGA-PBE).

Unit cell a=8.243 b=8.243 c=8.243 alpha=60.00 beta=60.00 gamma=60.00
Last column: magnetic moment on the atom in μB.
Positions (direct):
Na (0.000, 0.000, 0.000)  0.00
Na (0.626, 0.626, 0.123)  0.00
Na (0.626, 0.626, 0.626)  0.00
Na (0.123, 0.626, 0.626)  0.00
Na (0.626, 0.123, 0.626)  0.00
Ca (0.250, 0.250, 0.250)  0.00
Cl (0.381, 0.858, 0.381)  0.05
Cl (0.858, 0.381, 0.381)  0.05
Cl (0.381, 0.381, 0.381)  0.05
Cl (0.381, 0.381, 0.858)  0.05
Cl (0.867, 0.867, 0.400)  0.19
Cl (0.400, 0.867, 0.867)  0.19
Cl (0.867, 0.867, 0.867)  0.19
Cl (0.867, 0.400, 0.867)  0.19

Computed properties:
- Formation energy from raw total energies: -1678.2 meV per atom
- E_tot: -3.347 eV/atom
- SG: No. 216


Entry from the Alexandria database: an optimized crystal structure of NaCa2Cl (GGA-PBE).

Unit cell a=8.832 b=8.832 c=7.312 alpha=52.85 beta=52.85 gamma=90.00
Positions (direct):
Na (0.500, 0.500, 0.000)
Na (0.250, 0.750, 0.500)
Ca (0.704, 0.125, 0.250)
Ca (0.046, 0.625, 0.250)
Ca (0.375, 0.296, 0.750)
Ca (0.875, 0.954, 0.750)
Cl (0.000, 0.000, 0.000)
Cl (0.750, 0.250, 0.500)

Computed properties:
- Formation energy from raw total energies: -608.1 meV per atom
- Polymorph energy (0 for the lowest one): 41 meV per atom
- E_tot: -2.400 eV/atom
- SG: No. 122


Entry from the Alexandria database: an optimized crystal structure of Na2Ca2Cl (GGA-PBE).

Unit cell a=7.467 b=7.467 c=6.768 alpha=90.00 beta=90.00 gamma=90.00
Positions (direct):
Na (0.338, 0.838, 0.000)
Na (0.838, 0.662, 0.000)
Na (0.662, 0.162, 0.000)
Na (0.162, 0.338, 0.000)
Ca (0.171, 0.671, 0.500)
Ca (0.671, 0.829, 0.500)
Ca (0.829, 0.329, 0.500)
Ca (0.329, 0.171, 0.500)
Cl (0.000, 0.000, 0.000)
Cl (0.500, 0.500, 0.000)

Computed properties:
- Formation energy from raw total energies: -373.5 meV per atom
- Polymorph energy (0 for the lowest one): 138 meV per atom
- E_tot: -2.071 eV/atom
- SG: No. 127


Entry from the Alexandria database: an optimized crystal structure of NaCaCl3 (GGA-PBE).

Unit cell a=5.030 b=5.030 c=5.030 alpha=90.00 beta=90.00 gamma=90.00
Positions (direct):
Na (0.000, 0.000, 0.000)
Ca (0.500, 0.500, 0.500)
Cl (0.000, 0.500, 0.000)
Cl (0.000, 0.000, 0.500)
Cl (0.500, 0.000, 0.000)

Computed properties:
- Formation energy from raw total energies: -1655.1 meV per atom
- Polymorph energy (0 for the lowest one): 493 meV per atom
- E_tot: -3.427 eV/atom
- SG: No. 221


Entry from the Alexandria database: an optimized crystal structure of Na2CaCl4 (GGA-PBE).

Unit cell a=4.119 b=7.078 c=7.837 alpha=120.47 beta=105.23 gamma=90.00
Positions (direct):
Na (0.708, 0.729, 0.416)
Na (0.292, 0.271, 0.584)
Ca (0.000, 0.000, 0.000)
Cl (0.879, 0.177, 0.759)
Cl (0.121, 0.823, 0.241)
Cl (0.631, 0.273, 0.262)
Cl (0.369, 0.727, 0.738)

Computed properties:
- Formation energy from raw total energies: -2032.5 meV per atom
- Polymorph energy (0 for the lowest one): 19 meV per atom
- E_tot: -3.751 eV/atom
- SG: No. 12


Entry from the Alexandria database: an optimized crystal structure of NaCaCl3 (GGA-PBE).

Unit cell a=3.718 b=7.385 c=7.386 alpha=60.01 beta=90.01 gamma=90.00
Positions (direct):
Na (0.220, 0.433, 0.396)
Ca (0.220, 0.099, 0.062)
Cl (0.720, 0.263, 0.740)
Cl (0.720, 0.259, 0.225)
Cl (0.720, 0.777, 0.222)

Computed properties:
- Formation energy from raw total energies: -2148.5 meV per atom
- Polymorph energy (0 for the lowest one): 0 meV per atom
- E_tot: -3.921 eV/atom
- SG: No. 174


Entry from the Alexandria database: an optimized crystal structure of Na2Ca3Cl8 (GGA-PBE).

Unit cell a=7.068 b=8.126 c=7.928 alpha=120.83 beta=99.62 gamma=90.00
Positions (direct):
Na (0.413, 0.287, 0.574)
Na (0.587, 0.713, 0.426)
Ca (0.500, 0.000, 0.000)
Ca (0.000, 0.255, 0.000)
Ca (0.000, 0.745, 0.000)
Cl (0.886, 0.611, 0.222)
Cl (0.114, 0.389, 0.778)
Cl (0.871, 0.107, 0.213)
Cl (0.129, 0.893, 0.787)
Cl (0.633, 0.651, 0.760)
Cl (0.633, 0.109, 0.760)
Cl (0.367, 0.891, 0.240)
Cl (0.367, 0.349, 0.240)

Computed properties:
- Formation energy from raw total energies: -2209.1 meV per atom
- E_tot: -4.010 eV/atom
- SG: No. 12


Entry from the Alexandria database: an optimized crystal structure of NaCaCl3 (GGA-PBE).

Unit cell a=5.367 b=5.367 c=5.367 alpha=90.00 beta=90.00 gamma=90.00
Positions (direct):
Na (0.500, 0.500, 0.500)
Ca (0.000, 0.000, 0.000)
Cl (0.000, 0.500, 0.000)
Cl (0.000, 0.000, 0.500)
Cl (0.500, 0.000, 0.000)

Computed properties:
- Formation energy from raw total energies: -1999.7 meV per atom
- Polymorph energy (0 for the lowest one): 149 meV per atom
- E_tot: -3.772 eV/atom
- SG: No. 221


Entry from the Alexandria database: an optimized crystal structure of Na2CaCl4 (GGA-PBE).

Unit cell a=5.358 b=5.358 c=8.234 alpha=71.01 beta=71.01 gamma=90.00
Positions (direct):
Na (0.361, 0.361, 0.279)
Na (0.639, 0.639, 0.721)
Ca (0.000, 0.000, 0.000)
Cl (0.182, 0.182, 0.635)
Cl (0.818, 0.818, 0.365)
Cl (0.000, 0.500, 0.000)
Cl (0.500, 0.000, 0.000)

Computed properties:
- Formation energy from raw total energies: -1917.8 meV per atom
- Polymorph energy (0 for the lowest one): 134 meV per atom
- E_tot: -3.636 eV/atom
- SG: No. 139


Entry from the Alexandria database: an optimized crystal structure of NaCa2Cl (GGA-PBE).

Unit cell a=5.786 b=5.786 c=5.786 alpha=60.00 beta=60.00 gamma=60.00
Positions (direct):
Na (0.000, 0.000, 0.000)
Ca (0.250, 0.250, 0.250)
Ca (0.750, 0.750, 0.750)
Cl (0.500, 0.500, 0.500)

Computed properties:
- Formation energy from raw total energies: -347.1 meV per atom
- Polymorph energy (0 for the lowest one): 302 meV per atom
- E_tot: -2.139 eV/atom
- SG: No. 225


Entry from the Alexandria database: an optimized crystal structure of NaCa2Cl (GGA-PBE).

Unit cell a=3.766 b=3.766 c=11.585 alpha=80.64 beta=80.64 gamma=60.00
Positions (direct):
Na (0.000, 0.000, 0.000)
Ca (0.104, 0.104, 0.688)
Ca (0.896, 0.896, 0.312)
Cl (0.500, 0.500, 0.500)

Computed properties:
- Formation energy from raw total energies: -649.1 meV per atom
- Polymorph energy (0 for the lowest one): 0 meV per atom
- E_tot: -2.441 eV/atom
- SG: No. 166